# 1
A plane-wave DFT calculation with PBE was carried out for a geometry-optimized PrAlZn2Ni structure. Values from VASP.

Geometry as Quantum ESPRESSO input:
```
&SYSTEM
  ibrav = 0, nat = 5, ntyp = 4
/
ATOMIC_SPECIES
Ni 58.69 Ni.upf
Zn 65.41 Zn.upf
Pr 140.91 Pr.upf
Al 26.98 Al.upf
CELL_PARAMETERS angstrom
-1.984 -3.247 -1.348
2.483 -2.489 2.342
-3.742 3.282 3.646
ATOMIC_POSITIONS angstrom
Ni -2.013 -2.600 3.180
Zn -0.343 0.041 0.407
Zn -2.396 -1.457 0.991
Pr -3.069 0.364 3.641
Al -0.148 -1.080 2.819
```

## Properties
DFT total energy ... -18.8 eV/cell
Space group ... Imm2 (44)
ΔE_f ... -0.3842 eV per atom
Volume ... 18.54 Å³/atom
M_tot ... 0.000 μB/atom



# 2
A plane-wave DFT calculation with PBE was carried out for a geometry-optimized Fe2OsPt structure. Values from VASP.

Geometry as Quantum ESPRESSO input:
```
&SYSTEM
  ibrav = 0, nat = 4, ntyp = 3
/
ATOMIC_SPECIES
Fe 55.84 Fe.upf
Os 190.23 Os.upf
Pt 195.08 Pt.upf
CELL_PARAMETERS angstrom
2.657 -0.036 0.000
-0.960 2.478 0.000
0.000 0.000 8.508
ATOMIC_POSITIONS angstrom
Fe 0.000 0.000 4.221
Fe 0.000 0.000 0.032
Os 0.849 1.221 2.127
Pt 0.849 1.221 6.381
```

## Properties
DFT total energy ... -33.6 eV/cell
Space group ... Cmmm (65)
ΔE_f ... 0.1591 eV per atom
Volume ... 13.93 Å³/atom
M_tot ... 1.583 μB/atom



# 3
A plane-wave DFT calculation with PBE was carried out for a geometry-optimized Li2MgIrC structure. Values from VASP.

Geometry as Quantum ESPRESSO input:
```
&SYSTEM
  ibrav = 0, nat = 5, ntyp = 4
/
ATOMIC_SPECIES
Li 6.94 Li.upf
Ir 192.22 Ir.upf
C 12.01 C.upf
Mg 24.30 Mg.upf
CELL_PARAMETERS angstrom
4.130 0.000 0.000
0.000 4.130 0.000
0.000 0.000 3.922
ATOMIC_POSITIONS angstrom
Li 0.000 2.065 0.000
Li 2.065 0.000 0.000
Ir 0.000 0.000 1.961
C 0.000 0.000 0.000
Mg 2.065 2.065 1.961
```

## Properties
DFT total energy ... -24.0 eV/cell
Space group ... P4/mmm (123)
ΔE_f ... -0.0993 eV per atom
Volume ... 13.38 Å³/atom
M_tot ... 0.034 μB/atom



# 4
A plane-wave DFT calculation with PBE was carried out for a geometry-optimized Li2LaH8Ir structure. Values from VASP.

Geometry as Quantum ESPRESSO input:
```
&SYSTEM
  ibrav = 0, nat = 12, ntyp = 4
/
ATOMIC_SPECIES
H 1.01 H.upf
Li 6.94 Li.upf
Ir 192.22 Ir.upf
La 138.91 La.upf
CELL_PARAMETERS angstrom
-2.301 -3.601 1.440
4.500 0.065 0.290
-0.406 2.556 5.742
ATOMIC_POSITIONS angstrom
H -0.260 -0.957 4.252
H -0.030 -0.822 1.458
H 0.956 -2.576 2.308
H 1.823 -0.158 6.014
H 0.837 1.596 5.164
H 3.014 1.545 5.341
H 2.053 -0.023 3.220
H -1.220 -2.525 2.131
Li -0.392 -0.124 6.122
Li 2.185 -0.856 1.350
Ir 0.000 0.000 0.000
La -0.203 1.278 2.871
```

## Properties
DFT total energy ... -50.5 eV/cell
Space group ... P-3 (147)
Volume ... 9.24 Å³/atom
M_tot ... 0.000 μB/atom



# 5
A plane-wave DFT calculation with PBE was carried out for a geometry-optimized LaSbO2F structure. Values from VASP.

Geometry as Quantum ESPRESSO input:
```
&SYSTEM
  ibrav = 0, nat = 5, ntyp = 4
/
ATOMIC_SPECIES
O 16.00 O.upf
Sb 121.76 Sb.upf
F 19.00 F.upf
La 138.91 La.upf
CELL_PARAMETERS angstrom
4.392 0.000 0.000
0.000 4.392 0.000
0.000 0.000 4.471
ATOMIC_POSITIONS angstrom
O 0.000 2.196 0.000
O 2.196 0.000 0.000
Sb 0.000 0.000 0.000
F 0.000 0.000 2.236
La 2.196 2.196 2.236
```

## Properties
DFT total energy ... -29.3 eV/cell
Space group ... P4/mmm (123)
Volume ... 17.25 Å³/atom
M_tot ... 0.014 μB/atom
Formation energy without anion corrections ... -1702 meV/atom



# 6
A plane-wave DFT calculation with PBE was carried out for a geometry-optimized Na2Pa3IrO12 structure. Values from VASP.

Geometry as Quantum ESPRESSO input:
```
&SYSTEM
  ibrav = 0, nat = 18, ntyp = 4
/
ATOMIC_SPECIES
O 16.00 O.upf
Pa 231.04 Pa.upf
Na 22.99 Na.upf
Ir 192.22 Ir.upf
CELL_PARAMETERS angstrom
7.838 -0.032 -0.023
3.843 6.831 -0.023
3.843 2.237 6.455
ATOMIC_POSITIONS angstrom
O 7.375 4.293 5.958
O 5.759 6.102 4.328
O 12.118 4.025 6.064
O 8.150 1.994 4.328
O 9.484 8.549 6.064
O 8.150 4.744 0.451
O 7.375 7.043 2.082
O 9.766 2.935 2.082
O 6.041 0.487 0.346
O 3.407 5.012 0.346
O 12.118 7.054 1.794
O 3.407 1.983 4.616
Pa 1.922 1.119 3.227
Pa 3.919 -0.016 -0.011
Pa 1.922 3.416 -0.011
Na 9.098 5.296 3.756
Na 6.427 3.741 2.653
Ir 0.000 0.000 0.000
```

## Properties
DFT total energy ... -142.4 eV/cell
Space group ... R-3m (166)
Volume ... 19.29 Å³/atom
M_tot ... 0.112 μB/atom
Formation energy without anion corrections ... -2383 meV/atom



# 7
A plane-wave DFT calculation with PBE was carried out for a geometry-optimized LiSi2 structure. Values from VASP.

Geometry as Quantum ESPRESSO input:
```
&SYSTEM
  ibrav = 0, nat = 6, ntyp = 2
/
ATOMIC_SPECIES
Si 28.09 Si.upf
Li 6.94 Li.upf
CELL_PARAMETERS angstrom
3.749 0.000 -0.842
-0.189 3.744 -0.842
-0.260 -0.274 7.605
ATOMIC_POSITIONS angstrom
Si 1.276 1.342 5.677
Si 0.909 2.928 4.046
Si 0.421 2.415 1.874
Si 2.024 2.129 0.243
Li 2.634 0.799 2.960
Li 0.000 0.000 0.000
```

## Properties
DFT total energy ... -25.0 eV/cell
Space group ... I4_1/amd (141)
Volume ... 17.50 Å³/atom
M_tot ... 0.000 μB/atom
Formation energy without anion corrections ... 86 meV/atom



# 8
A plane-wave DFT calculation with PBE was carried out for a geometry-optimized TbEr4TmSe8 structure. Values from VASP.

Geometry as Quantum ESPRESSO input:
```
&SYSTEM
  ibrav = 0, nat = 14, ntyp = 4
/
ATOMIC_SPECIES
Se 78.96 Se.upf
Tm 168.93 Tm.upf
Er 167.26 Er.upf
Tb 158.93 Tb.upf
CELL_PARAMETERS angstrom
-2.433 2.658 -7.540
4.340 -2.180 -6.800
-3.256 -5.395 -5.483
ATOMIC_POSITIONS angstrom
Se 1.905 -2.429 -8.274
Se -3.263 -2.466 -11.561
Se -1.959 -3.891 -7.519
Se 0.368 -5.060 -11.165
Se -1.691 0.140 -8.667
Se 0.613 -1.018 -12.277
Se -0.929 -3.570 -14.852
Se -0.437 -1.372 -4.974
Tm 1.905 0.475 -14.340
Er -1.885 -1.131 -13.683
Er 0.782 -0.380 -9.648
Er 1.493 -3.544 -13.315
Er 0.279 -2.218 -17.074
Tb -2.133 -4.540 -10.174
```

## Properties
DFT total energy ... -79.0 eV/cell
Space group ... R3m (160)
Volume ... 29.45 Å³/atom
M_tot ... 0.000 μB/atom
Formation energy without anion corrections ... -1696 meV/atom